Entry P
# La4YSe5

A geometry-optimized La4YSe5 structure (PBE, Alexandria).

Geometry as extended XYZ:
```
10
Lattice="-2.1361 2.1361 15.1090 2.1361 -2.1361 15.1090 2.1361 2.1361 -15.1090" Properties=species:S:1:pos:R:3 pbc="T T T"
La 0.0000 0.0000 3.0200
La 0.0000 0.0000 9.1299
La 0.0000 0.0000 21.0882
La 0.0000 0.0000 27.1980
Y 0.0000 0.0000 15.1090
Se 0.0000 0.0000 0.0000
Se 0.0000 0.0000 6.0721
Se 0.0000 0.0000 12.2084
Se 0.0000 0.0000 18.0097
Se 0.0000 0.0000 24.1459
```

Calculated values
- crystal system = tetragonal
- space-group type = No. 139
- volume (Å³ per atom) = 27.58

***

Entry Q
# La4YSe5

A geometry-optimized La4YSe5 structure (PBE, Alexandria).

Geometry as extended XYZ:
```
10
Lattice="-4.7681 4.7681 3.0263 4.7681 -4.7681 3.0263 4.7681 4.7681 -3.0263" Properties=species:S:1:pos:R:3 pbc="T T T"
La 6.6516 0.9224 0.0000
La 0.9224 2.8845 0.0000
La 3.8457 1.8835 3.0263
La -1.8835 3.8457 3.0263
Y 0.0000 0.0000 3.0263
Se 0.0000 0.0000 0.0000
Se 3.8239 2.0064 0.0000
Se 2.7616 -0.9442 3.0263
Se 2.0064 5.7123 0.0000
Se 0.9442 2.7616 3.0263
```

Calculated values
- crystal system = tetragonal
- space-group type = No. 87
- volume (Å³ per atom) = 27.52

***

Stability check: which of them is most stable? entry Q.